Entry 1:
A plane-wave DFT calculation with GGA-PBE was carried out for a relaxed Cu3PdPt crystal.

Computed properties:
**Formation energy**: -0.1202 eV per atom
**Relative energy among the computed polymorphs**: 0 meV per atom
**V**: 13.49 A^3/atom
**M_tot**: 0.00 μB/atom

```
data_Cu3PdPt
_chemical_formula_sum 'Cu6 Pd2 Pt2'
_symmetry_space_group_name_H-M 'P 1'
_symmetry_Int_Tables_number 1
_cell_length_a 3.839
_cell_length_b 6.950
_cell_length_c 5.316
_cell_angle_alpha 97.98
_cell_angle_beta 90.00
_cell_angle_gamma 106.03
loop_
_symmetry_equiv_pos_as_xyz
'x,y,z'
loop_
_atom_site_label
_atom_site_type_symbol
_atom_site_fract_x
_atom_site_fract_y
_atom_site_fract_z
_atom_site_occupancy
Cu1 Cu 0.000 0.000 0.757 1
Cu2 Cu 0.197 0.395 0.343 1
Cu3 Cu 0.596 0.192 0.041 1
Cu4 Cu 0.000 0.000 0.243 1
Cu5 Cu 0.404 0.808 0.959 1
Cu6 Cu 0.803 0.605 0.657 1
Pd1 Pd 0.400 0.799 0.464 1
Pd2 Pd 0.600 0.201 0.536 1
Pt1 Pt 0.200 0.400 0.847 1
Pt2 Pt 0.800 0.600 0.153 1
```

=====

Entry 2:
A plane-wave DFT calculation with GGA-PBE was carried out for a relaxed CuPd8Pt5 crystal.

Computed properties:
**Formation energy**: 0.1639 eV per atom
**V**: 16.21 A^3/atom
**M_tot**: 0.00 μB/atom

```
data_CuPd8Pt5
_chemical_formula_sum 'Cu1 Pd8 Pt5'
_symmetry_space_group_name_H-M 'P 1'
_symmetry_Int_Tables_number 1
_cell_length_a 6.655
_cell_length_b 6.655
_cell_length_c 6.655
_cell_angle_alpha 109.65
_cell_angle_beta 109.11
_cell_angle_gamma 109.65
loop_
_symmetry_equiv_pos_as_xyz
'x,y,z'
loop_
_atom_site_label
_atom_site_type_symbol
_atom_site_fract_x
_atom_site_fract_y
_atom_site_fract_z
_atom_site_occupancy
Pt1 Pt 0.864 0.809 0.274 1
Pt2 Pt 0.465 0.191 0.055 1
Pt3 Pt 0.945 0.410 0.136 1
Pt4 Pt 0.500 0.000 0.500 1
Pt5 Pt 0.726 0.590 0.535 1
Pd1 Pd 0.600 0.425 0.810 1
Pd2 Pd 0.824 0.210 0.400 1
Pd3 Pd 0.228 0.227 0.336 1
Pd4 Pd 0.664 0.891 0.891 1
Pd5 Pd 0.109 0.773 0.001 1
Pd6 Pd 0.385 0.575 0.176 1
Pd7 Pd 0.999 0.109 0.772 1
Pd8 Pd 0.190 0.790 0.615 1
Cu1 Cu 0.250 0.500 0.750 1
```

=====

Entry 3:
A plane-wave DFT calculation with GGA-PBE was carried out for a relaxed CuPd5Pt6 crystal.

Computed properties:
**Formation energy**: -0.0583 eV per atom
**V**: 15.28 A^3/atom
**M_tot**: 0.00 μB/atom

```
data_CuPd5Pt6
_chemical_formula_sum 'Cu1 Pd5 Pt6'
_symmetry_space_group_name_H-M 'P 1'
_symmetry_Int_Tables_number 1
_cell_length_a 3.922
_cell_length_b 7.373
_cell_length_c 7.373
_cell_angle_alpha 106.29
_cell_angle_beta 105.46
_cell_angle_gamma 105.46
loop_
_symmetry_equiv_pos_as_xyz
'x,y,z'
loop_
_atom_site_label
_atom_site_type_symbol
_atom_site_fract_x
_atom_site_fract_y
_atom_site_fract_z
_atom_site_occupancy
Pt1 Pt 0.752 0.917 0.587 1
Pt2 Pt 0.752 0.587 0.917 1
Pt3 Pt 0.248 0.083 0.413 1
Pt4 Pt 0.747 0.246 0.246 1
Pt5 Pt 0.248 0.413 0.083 1
Pt6 Pt 0.253 0.754 0.754 1
Cu1 Cu 0.000 0.000 0.000 1
Pd1 Pd 0.500 0.162 0.838 1
Pd2 Pd 0.000 0.334 0.666 1
Pd3 Pd 0.500 0.500 0.500 1
Pd4 Pd 0.500 0.838 0.162 1
Pd5 Pd 0.000 0.666 0.334 1
```

=====

Entry 4:
A plane-wave DFT calculation with GGA-PBE was carried out for a relaxed Cu2Pd9Pt crystal.

Computed properties:
**Formation energy**: -0.0452 eV per atom
**V**: 14.94 A^3/atom
**M_tot**: 0.00 μB/atom

```
data_Cu2Pd9Pt
_chemical_formula_sum 'Cu2 Pd9 Pt1'
_symmetry_space_group_name_H-M 'P 1'
_symmetry_Int_Tables_number 1
_cell_length_a 3.902
_cell_length_b 3.902
_cell_length_c 11.770
_cell_angle_alpha 90.00
_cell_angle_beta 90.00
_cell_angle_gamma 90.00
loop_
_symmetry_equiv_pos_as_xyz
'x,y,z'
loop_
_atom_site_label
_atom_site_type_symbol
_atom_site_fract_x
_atom_site_fract_y
_atom_site_fract_z
_atom_site_occupancy
Pd1 Pd 0.000 0.500 0.500 1
Pd2 Pd 0.000 0.500 0.828 1
Pd3 Pd 0.500 0.500 0.337 1
Pd4 Pd 0.500 0.000 0.500 1
Pd5 Pd 0.500 0.500 0.000 1
Pd6 Pd 0.000 0.500 0.172 1
Pd7 Pd 0.500 0.000 0.828 1
Pd8 Pd 0.500 0.500 0.663 1
Pd9 Pd 0.500 0.000 0.172 1
Pt1 Pt 0.000 0.000 0.000 1
Cu1 Cu 0.000 0.000 0.336 1
Cu2 Cu 0.000 0.000 0.664 1
```

=====

Entry 5:
A plane-wave DFT calculation with GGA-PBE was carried out for a relaxed CuPd4Pt4 crystal.

Computed properties:
**Formation energy**: 0.2526 eV per atom
**Relative energy among the computed polymorphs**: 303 meV per atom
**V**: 17.34 A^3/atom
**M_tot**: 0.00 μB/atom

```
data_CuPd4Pt4
_chemical_formula_sum 'Cu2 Pd8 Pt8'
_symmetry_space_group_name_H-M 'P 1'
_symmetry_Int_Tables_number 1
_cell_length_a 5.789
_cell_length_b 5.789
_cell_length_c 9.312
_cell_angle_alpha 90.00
_cell_angle_beta 90.00
_cell_angle_gamma 90.00
loop_
_symmetry_equiv_pos_as_xyz
'x,y,z'
loop_
_atom_site_label
_atom_site_type_symbol
_atom_site_fract_x
_atom_site_fract_y
_atom_site_fract_z
_atom_site_occupancy
Cu1 Cu 0.000 0.000 0.000 1
Cu2 Cu 0.500 0.500 0.500 1
Pt1 Pt 0.715 0.000 0.559 1
Pt2 Pt 0.500 0.785 0.059 1
Pt3 Pt 0.000 0.285 0.441 1
Pt4 Pt 0.785 0.500 0.941 1
Pt5 Pt 0.500 0.215 0.059 1
Pt6 Pt 0.285 0.000 0.559 1
Pt7 Pt 0.215 0.500 0.941 1
Pt8 Pt 0.000 0.715 0.441 1
Pd1 Pd 0.000 0.248 0.740 1
Pd2 Pd 0.500 0.748 0.760 1
Pd3 Pd 0.000 0.752 0.740 1
Pd4 Pd 0.748 0.500 0.240 1
Pd5 Pd 0.500 0.252 0.760 1
Pd6 Pd 0.752 0.000 0.260 1
Pd7 Pd 0.252 0.500 0.240 1
Pd8 Pd 0.248 0.000 0.260 1
```

=====

Entry 6:
A plane-wave DFT calculation with GGA-PBE was carried out for a relaxed Cu5PdPt2 crystal.

Computed properties:
**Formation energy**: 0.7261 eV per atom
**Relative energy among the computed polymorphs**: 844 meV per atom
**V**: 16.73 A^3/atom
**M_tot**: 0.00 μB/atom

```
data_Cu5PdPt2
_chemical_formula_sum 'Cu5 Pd1 Pt2'
_symmetry_space_group_name_H-M 'P 1'
_symmetry_Int_Tables_number 1
_cell_length_a 4.344
_cell_length_b 5.551
_cell_length_c 5.551
_cell_angle_alpha 90.00
_cell_angle_beta 90.00
_cell_angle_gamma 90.00
loop_
_symmetry_equiv_pos_as_xyz
'x,y,z'
loop_
_atom_site_label
_atom_site_type_symbol
_atom_site_fract_x
_atom_site_fract_y
_atom_site_fract_z
_atom_site_occupancy
Cu1 Cu 0.000 0.704 0.704 1
Cu2 Cu 0.000 0.296 0.704 1
Cu3 Cu 0.500 0.000 0.000 1
Cu4 Cu 0.000 0.296 0.296 1
Cu5 Cu 0.000 0.704 0.296 1
Pd1 Pd 0.000 0.000 0.000 1
Pt1 Pt 0.500 0.000 0.500 1
Pt2 Pt 0.500 0.500 0.000 1
```

=====

Entry 7:
A plane-wave DFT calculation with GGA-PBE was carried out for a relaxed CuPdPt2 crystal.

Computed properties:
**Formation energy**: -0.0859 eV per atom
**Relative energy among the computed polymorphs**: 15 meV per atom
**V**: 14.84 A^3/atom
**M_tot**: 0.00 μB/atom

```
data_CuPdPt2
_chemical_formula_sum 'Cu2 Pd2 Pt4'
_symmetry_space_group_name_H-M 'P 1'
_symmetry_Int_Tables_number 1
_cell_length_a 2.763
_cell_length_b 2.763
_cell_length_c 17.967
_cell_angle_alpha 90.00
_cell_angle_beta 90.00
_cell_angle_gamma 120.00
loop_
_symmetry_equiv_pos_as_xyz
'x,y,z'
loop_
_atom_site_label
_atom_site_type_symbol
_atom_site_fract_x
_atom_site_fract_y
_atom_site_fract_z
_atom_site_occupancy
Cu1 Cu 0.000 0.000 0.500 1
Cu2 Cu 0.000 0.000 0.000 1
Pt1 Pt 0.333 0.667 0.118 1
Pt2 Pt 0.667 0.333 0.618 1
Pt3 Pt 0.667 0.333 0.882 1
Pt4 Pt 0.333 0.667 0.382 1
Pd1 Pd 0.667 0.333 0.250 1
Pd2 Pd 0.333 0.667 0.750 1
```

=====

Entry 8:
A plane-wave DFT calculation with GGA-PBE was carried out for a relaxed Cu5Pd2Pt4 crystal.

Computed properties:
**Formation energy**: -0.0336 eV per atom
**Relative energy among the computed polymorphs**: 0 meV per atom
**V**: 14.45 A^3/atom
**M_tot**: 0.00 μB/atom

```
data_Cu5Pd2Pt4
_chemical_formula_sum 'Cu5 Pd2 Pt4'
_symmetry_space_group_name_H-M 'P 1'
_symmetry_Int_Tables_number 1
_cell_length_a 4.051
_cell_length_b 6.691
_cell_length_c 7.078
_cell_angle_alpha 61.19
_cell_angle_beta 106.63
_cell_angle_gamma 90.00
loop_
_symmetry_equiv_pos_as_xyz
'x,y,z'
loop_
_atom_site_label
_atom_site_type_symbol
_atom_site_fract_x
_atom_site_fract_y
_atom_site_fract_z
_atom_site_occupancy
Pt1 Pt 0.003 0.709 0.005 1
Pt2 Pt 0.338 0.431 0.676 1
Pt3 Pt 0.997 0.291 0.995 1
Pt4 Pt 0.662 0.569 0.324 1
Pd1 Pd 0.657 0.117 0.314 1
Pd2 Pd 0.343 0.883 0.686 1
Cu1 Cu 0.846 0.150 0.693 1
Cu2 Cu 0.154 0.850 0.307 1
Cu3 Cu 0.187 0.309 0.374 1
Cu4 Cu 0.500 0.000 0.000 1
Cu5 Cu 0.813 0.691 0.626 1
```

=====

Entry 9:
A plane-wave DFT calculation with GGA-PBE was carried out for a relaxed Cu2Pd7Pt2 crystal.

Computed properties:
**Formation energy**: 0.0415 eV per atom
**Relative energy among the computed polymorphs**: 0 meV per atom
**V**: 15.61 A^3/atom
**M_tot**: 0.00 μB/atom

```
data_Cu2Pd7Pt2
_chemical_formula_sum 'Cu2 Pd7 Pt2'
_symmetry_space_group_name_H-M 'P 1'
_symmetry_Int_Tables_number 1
_cell_length_a 3.833
_cell_length_b 7.141
_cell_length_c 7.141
_cell_angle_alpha 68.10
_cell_angle_beta 105.50
_cell_angle_gamma 105.50
loop_
_symmetry_equiv_pos_as_xyz
'x,y,z'
loop_
_atom_site_label
_atom_site_type_symbol
_atom_site_fract_x
_atom_site_fract_y
_atom_site_fract_z
_atom_site_occupancy
Cu1 Cu 0.000 0.241 0.759 1
Cu2 Cu 0.000 0.759 0.241 1
Pd1 Pd 0.340 0.093 0.587 1
Pd2 Pd 0.855 0.355 0.355 1
Pd3 Pd 0.660 0.413 0.907 1
Pd4 Pd 0.145 0.645 0.645 1
Pd5 Pd 0.340 0.587 0.093 1
Pd6 Pd 0.660 0.907 0.413 1
Pd7 Pd 0.500 0.000 0.000 1
Pt1 Pt 0.171 0.172 0.172 1
Pt2 Pt 0.829 0.828 0.828 1
```

=====

Entry 10:
A plane-wave DFT calculation with GGA-PBE was carried out for a relaxed Cu2Pd3Pt3 crystal.

Computed properties:
**Formation energy**: -0.0865 eV per atom
**V**: 14.76 A^3/atom
**M_tot**: 0.00 μB/atom

```
data_Cu2Pd3Pt3
_chemical_formula_sum 'Cu2 Pd3 Pt3'
_symmetry_space_group_name_H-M 'P 1'
_symmetry_Int_Tables_number 1
_cell_length_a 3.890
_cell_length_b 3.937
_cell_length_c 7.711
_cell_angle_alpha 90.00
_cell_angle_beta 90.00
_cell_angle_gamma 90.00
loop_
_symmetry_equiv_pos_as_xyz
'x,y,z'
loop_
_atom_site_label
_atom_site_type_symbol
_atom_site_fract_x
_atom_site_fract_y
_atom_site_fract_z
_atom_site_occupancy
Pt1 Pt 0.500 0.500 0.750 1
Pt2 Pt 0.500 0.500 0.250 1
Pt3 Pt 0.000 0.500 0.000 1
Pd1 Pd 0.000 0.500 0.500 1
Pd2 Pd 0.500 0.000 0.000 1
Pd3 Pd 0.500 0.000 0.500 1
Cu1 Cu 0.000 0.000 0.750 1
Cu2 Cu 0.000 0.000 0.250 1
```